(1)
Si2TeBr | Alexandria via LeMat-Bulk | GGA-PBEsol | optimized geometry; spin magnetization = 0.0 Bohr magnetons per cell; V = 94 Å³/cell; E_form (uncorrected) = 0.45 eV per atom; SG = I4/mmm (139); energy above the most stable polymorph in this dataset = 0.37 eV per formula unit
1.0
-2.720 3.713 -1.859
-2.345 -2.162 3.803
4.329 1.694 1.739
Si Te Br
2 1 1
Direct
0.500 0.500 0.000
0.500 0.000 0.500
0.000 0.500 0.500
0.000 0.000 0.000



(2)
SiTeBr4 | Alexandria via LeMat-Bulk | GGA-PBEsol | optimized geometry; spin magnetization = 0.0 Bohr magnetons per cell; V = 153 Å³/cell; E_form (uncorrected) = 0.83 eV per atom; SG = F-43m (216)
1.0
-2.335 -0.704 5.484
-0.011 -5.417 2.584
3.599 -1.102 4.675
Br Si Te
4 1 1
Direct
0.375 0.375 0.375
0.375 0.375 0.876
0.876 0.375 0.375
0.375 0.876 0.375
0.750 0.750 0.750
0.000 0.000 0.000



(3)
Si2TeBr | Alexandria via LeMat-Bulk | GGA-PBEsol | optimized geometry; spin magnetization = 0.0 Bohr magnetons per cell; V = 87 Å³/cell; E_form (uncorrected) = 0.36 eV per atom; SG = Imm2 (44); energy above the most stable polymorph in this dataset = 0.00 eV per formula unit
1.0
-3.072 0.298 1.701
1.381 -3.363 3.085
2.901 5.194 0.678
Si Te Br
2 1 1
Direct
0.065 0.065 0.129
0.747 0.247 0.493
0.453 0.453 0.906
0.236 0.736 0.471



(4)
SiTeBr3 | Alexandria via LeMat-Bulk | GGA-PBEsol | optimized geometry; spin magnetization = 2.6 Bohr magnetons per cell; V = 139 Å³/cell; E_form (uncorrected) = 0.11 eV per atom; SG = Pm-3m (221)
1.0
-4.381 1.308 -2.440
-2.488 -3.864 2.395
-1.215 3.196 3.895
Si Te Br
1 1 3
Direct
0.000 0.000 0.000
0.500 0.500 0.500
0.000 0.500 0.000
0.000 0.000 0.500
0.500 0.000 0.000



(5)
SiTe2Br | Alexandria via LeMat-Bulk | GGA-PBEsol | optimized geometry; spin magnetization = 0.0 Bohr magnetons per cell; V = 112 Å³/cell; E_form (uncorrected) = 0.13 eV per atom; SG = Pm (6); energy above the most stable polymorph in this dataset = 0.00 eV per formula unit
1.0
3.971 0.000 0.058
0.000 5.282 0.000
-1.889 0.000 5.311
Si Te Br
1 2 1
Direct
0.180 0.500 0.864
0.021 0.000 0.957
0.821 0.500 0.196
0.477 0.000 0.483



(6)
SiTe2Br | Alexandria via LeMat-Bulk | GGA-PBEsol | optimized geometry; spin magnetization = 0.0 Bohr magnetons per cell; V = 105 Å³/cell; E_form (uncorrected) = 0.15 eV per atom; SG = C2/m (12); energy above the most stable polymorph in this dataset = 0.05 eV per formula unit
1.0
3.625 0.000 0.000
0.000 5.493 -0.106
-1.812 -1.375 5.291
Si Te Br
1 2 1
Direct
0.000 0.500 0.000
0.311 0.332 0.622
0.689 0.668 0.378
0.500 0.000 0.000



(7)
YSiTe2Br | Alexandria via LeMat-Bulk | GGA-PBEsol | optimized geometry; spin magnetization = 0.0 Bohr magnetons per cell; V = 143 Å³/cell; E_form (uncorrected) = 0.38 eV per atom; SG = P4/mmm (123)
1.0
4.930 0.000 0.000
0.000 5.391 0.000
0.000 0.000 5.391
Y Si Te Br
1 1 2 1
Direct
0.500 0.500 0.500
0.500 0.000 0.000
0.000 0.000 0.500
0.000 0.500 0.000
0.000 0.000 0.000



(8)
TiSi2Br2 | Alexandria via LeMat-Bulk | GGA-PBEsol | optimized geometry; spin magnetization = 1.5 Bohr magnetons per cell; V = 221 Å³/cell; E_form (uncorrected) = 0.23 eV per atom; SG = P4/mbm (127)
1.0
4.990 0.000 0.000
0.000 6.660 0.000
0.000 0.000 6.660
Si Br Ti
4 4 2
Direct
0.000 0.372 0.872
0.000 0.872 0.628
0.000 0.628 0.128
0.000 0.128 0.372
0.500 0.306 0.806
0.500 0.806 0.694
0.500 0.694 0.194
0.500 0.194 0.306
0.000 0.000 0.000
0.000 0.500 0.500



(9)
TlSiBr | Alexandria via LeMat-Bulk | GGA-PBEsol | optimized geometry; spin magnetization = 0.0 Bohr magnetons per cell; V = 72 Å³/cell; E_form (uncorrected) = 0.22 eV per atom; SG = P3m1 (156); energy above the most stable polymorph in this dataset = 0.00 eV per formula unit
1.0
-1.424 -1.285 -2.795
2.208 -1.854 1.783
-5.402 -2.625 3.960
Tl Si Br
1 1 1
Direct
0.667 0.333 0.360
0.333 0.667 0.688
0.000 0.000 0.951



(10)
TlSiBr2 | Alexandria via LeMat-Bulk | GGA-PBEsol | optimized geometry; spin magnetization = 0.0 Bohr magnetons per cell; V = 105 Å³/cell; E_form (uncorrected) = -0.10 eV per atom; SG = R-3m (166); energy above the most stable polymorph in this dataset = 0.23 eV per formula unit
1.0
-0.501 3.135 1.828
1.258 0.346 3.424
8.127 4.291 -1.459
Br Si Tl
2 1 1
Direct
0.234 0.234 0.299
0.766 0.766 0.701
0.500 0.500 0.500
0.000 0.000 0.000



(11)
TlSi2Br | Alexandria via LeMat-Bulk | GGA-PBEsol | optimized geometry; spin magnetization = 0.0 Bohr magnetons per cell; V = 92 Å³/cell; E_form (uncorrected) = 0.48 eV per atom; SG = Fmmm (69); energy above the most stable polymorph in this dataset = 0.00 eV per formula unit
1.0
4.139 -0.013 0.000
-0.179 4.135 0.000
-1.980 -2.061 5.386
Br Si Tl
1 2 1
Direct
0.000 0.000 0.000
0.500 0.000 0.500
0.000 0.500 0.500
0.500 0.500 0.000



(12)
TlSiBr | Alexandria via LeMat-Bulk | GGA-PBEsol | optimized geometry; spin magnetization = 0.0 Bohr magnetons per cell; V = 86 Å³/cell; E_form (uncorrected) = 0.61 eV per atom; SG = F-43m (216); energy above the most stable polymorph in this dataset = 1.15 eV per formula unit
1.0
-1.667 2.772 3.765
-4.237 2.543 -0.476
-4.037 -1.409 2.522
Tl Si Br
1 1 1
Direct
0.250 0.250 0.250
0.500 0.500 0.500
0.000 0.000 0.000